A geometry-optimized SrCaTa2Mn structure, computed with PBE.

The magnetization is 0.00 μB/f.u. Its uncorrected energy is -6.564 eV/atom. As for the formation energy: 0.75 eV/atom.

Unit cell a=4.7189 b=5.5862 c=4.7189 alpha=90.00 beta=90.00 gamma=90.00
With the nearest neighbours (Å) after each atom.
Element x y z (fractional)
Sr1 0.5000 0.5000 0.5000  4 Ca 3.34, 8 Ta 3.66
Ca1 0.0000 0.5000 0.0000  2 Mn 2.79
Mn1 0.0000 0.0000 0.0000  4 Ta 2.36
Ta1 0.0000 0.0000 0.5000  2 Mn 2.36
Ta2 0.5000 0.0000 0.0000  2 Mn 2.36

***

A geometry-optimized MgPtN2F structure, computed with PBE.

The magnetization is 0.00 μB/f.u. Its uncorrected energy is -4.421 eV/atom. The value obtained for the formation energy from raw total energies is 0.810 eV/atom.

Unit cell a=4.0853 b=4.0853 c=3.5524 alpha=90.00 beta=90.00 gamma=90.00
With the nearest neighbours (Å) after each atom.
Element x y z (fractional)
Mg1 0.0000 0.0000 0.0000  2 F 1.78
N1 0.0000 0.5000 0.0000  2 Mg 2.04
N2 0.5000 0.0000 0.0000  2 Mg 2.04
Pt1 0.5000 0.5000 0.5000  8 N 2.71, 4 F 2.89
F1 0.0000 0.0000 0.5000  2 Mg 1.78

***

A geometry-optimized BaW2Cl structure, computed with PBE.

The magnetization is 1.71 μB/f.u. Its uncorrected energy is -6.578 eV/atom. The value obtained for the formation energy from raw total energies is 0.841 eV/atom.

Unit cell a=7.5319 b=7.5319 c=7.5319 alpha=149.85 beta=149.85 gamma=43.17
With the nearest neighbours (Å) after each atom.
Element x y z (fractional)
Ba1 0.2500 0.7500 0.5000  4 Cl 2.77
W1 0.0000 0.0000 0.0000  4 W 2.77
W2 0.5000 0.5000 0.0000  4 W 2.77
Cl1 0.7500 0.2500 0.5000  4 Ba 2.77

***

A geometry-optimized LiMo2PtN structure, computed with PBE.

The magnetization is 3.34 μB/f.u. Its uncorrected energy is -5.483 eV/atom. The value obtained for the formation energy from raw total energies is 2.105 eV/atom.

Unit cell a=4.8724 b=4.4659 c=4.8724 alpha=90.00 beta=90.00 gamma=90.00
With the nearest neighbours (Å) after each atom.
Element x y z (fractional)
Mo1 0.0000 0.0000 0.5000  2 Pt 2.44
Mo2 0.5000 0.0000 0.0000  2 Pt 2.44
Li1 0.0000 0.5000 0.0000  2 Pt 2.23
Pt1 0.0000 0.0000 0.0000  2 Li 2.23, 4 Mo 2.44
N1 0.5000 0.5000 0.5000  8 Mo 3.30, 4 Li 3.45